No. 1
Below is a relaxed ReTc2Br2 crystal, with properties calculated at the PBE level.

The crystal system is tetragonal.

The structure belongs to space group I4/mmm (No. 139); the cell edges are 4.284, 4.284 and 10.246 Å and the angles 90.00°, 90.00° and 90.00°. The inequivalent atoms are Re at (0.000, 0.000, 0.000), Tc at (0.000, 0.500, 0.250) and Br at (0.000, 0.000, 0.368).

No. 2
Below is a relaxed NaGaSn2Se6 crystal, with properties calculated at the PBE level.

The crystal system is monoclinic.

The structure belongs to space group C2/c (No. 15); the cell edges are 13.993, 13.005 and 7.543 Å and the angles 90.00°, 113.12° and 90.00°. The inequivalent atoms are Na at (0.000, 0.138, 0.250), Ga at (0.000, 0.189, 0.750), Sn at (0.197, 0.421, 0.181), Se at (0.103, 0.064, 0.647), Se at (0.125, 0.426, 0.453) and Se at (0.129, 0.238, 0.068).

No. 3
Below is a relaxed Ba2ThTlTe5 crystal, with properties calculated at the PBE level.

The crystal system is orthorhombic.

The structure belongs to space group Cmc2_1 (No. 36); the cell edges are 4.759, 20.219 and 14.630 Å and the angles 90.00°, 90.00° and 90.00°. The inequivalent atoms are Ba at (0.000, 0.107, 0.000), Ba at (0.000, 0.133, 0.629), Th at (0.000, 0.209, 0.335), Tl at (0.000, 0.467, 0.772), Te at (0.000, 0.060, 0.397), Te at (0.000, 0.282, 0.978), Te at (0.000, 0.310, 0.691), Te at (0.000, 0.362, 0.319) and Te at (0.000, 0.490, 0.075).

No. 4
Below is a relaxed SbSeCl3 crystal, with properties calculated at the PBE level.

The crystal system is monoclinic.

The structure belongs to space group P2/c (No. 13); the cell edges are 7.656, 7.880 and 16.245 Å and the angles 90.00°, 96.71° and 90.00°. The inequivalent atoms are Sb at (0.083, 0.122, 0.119), Se at (0.060, 0.497, 0.815), Cl at (0.150, 0.153, 0.561), Cl at (0.248, 0.061, 0.251) and Cl at (0.310, 0.274, 0.064).

No. 5
Below is a relaxed PaNiHgPt crystal, with properties calculated at the PBE level.

The crystal system is cubic.

The structure belongs to space group F-43m (No. 216); the cell edges are 6.735, 6.735 and 6.735 Å and the angles 90.00°, 90.00° and 90.00°. The inequivalent atoms are Pa at (0.000, 0.000, 0.000), Ni at (0.250, 0.250, 0.250), Hg at (0.000, 0.000, 0.500) and Pt at (0.250, 0.250, 0.750).

No. 6
Below is a relaxed SrS crystal, with properties calculated at the PBE level.

The crystal system is orthorhombic.

The structure belongs to space group Cmcm (No. 63); the cell edges are 5.110, 8.820 and 6.009 Å and the angles 90.00°, 90.00° and 90.00°. The inequivalent atoms are Sr at (0.000, 0.167, 0.250) and S at (0.000, 0.167, 0.750).

Calculated final energy, -5.596 -3.787 -4.472 -3.214 -5.810 -4.938 eV/atom (same order as the records).